1.
Na3Nd2Se4 | GGA-PBE | relaxed

Cell: 4.2583 4.2583 17.3537 Å, 90.04 90.04 60.00°
Positions (direct):
1 Na 0.0000 0.0000 0.0000
2 Na 0.3342 0.3342 0.4006
3 Na 0.6658 0.6658 0.5994
4 Nd 0.3328 0.3328 0.7980
5 Nd 0.6672 0.6672 0.2020
6 Se 0.0007 0.0007 0.3008
7 Se 0.3336 0.3336 0.1064
8 Se 0.6664 0.6664 0.8936
9 Se 0.9993 0.9993 0.6992

Results
Uncorrected formation energy ... -1.469 eV/atom

2.
NaNdSm2Se4 | GGA-PBE | relaxed

Cell: 7.2887 4.1782 7.2982 Å, 90.00 109.08 90.00°
Positions (direct):
1 Na 0.0000 0.0000 0.0000
2 Nd 0.5000 0.5000 0.0000
3 Sm 0.0000 0.5000 0.5000
4 Sm 0.5000 0.0000 0.5000
5 Se 0.2460 0.0000 0.7476
6 Se 0.2510 0.5000 0.2542
7 Se 0.7490 0.5000 0.7458
8 Se 0.7540 0.0000 0.2524

Results
Uncorrected formation energy ... -1.766 eV/atom

3.
NaNd3Sm2Se6 | GGA-PBE | relaxed

Cell: 7.2770 7.2770 7.3117 Å, 99.58 99.58 120.09°
Positions (direct):
1 Na 0.0000 0.0000 0.0000
2 Nd 0.1640 0.8360 0.5000
3 Nd 0.5000 0.5000 0.5000
4 Nd 0.8360 0.1640 0.5000
5 Sm 0.3344 0.6656 0.0000
6 Sm 0.6656 0.3344 0.0000
7 Se 0.0815 0.4138 0.2457
8 Se 0.2500 0.2500 0.7592
9 Se 0.4138 0.0815 0.2457
10 Se 0.5862 0.9185 0.7543
11 Se 0.7500 0.7500 0.2408
12 Se 0.9185 0.5862 0.7543

Results
Uncorrected formation energy ... -1.789 eV/atom

What did the first record say?
Na3Nd2Se4 | GGA-PBE | relaxed

Cell: 4.2583 4.2583 17.3537 Å, 90.04 90.04 60.00°
Positions (direct):
1 Na 0.0000 0.0000 0.0000
2 Na 0.3342 0.3342 0.4006
3 Na 0.6658 0.6658 0.5994
4 Nd 0.3328 0.3328 0.7980
5 Nd 0.6672 0.6672 0.2020
6 Se 0.0007 0.0007 0.3008
7 Se 0.3336 0.3336 0.1064
8 Se 0.6664 0.6664 0.8936
9 Se 0.9993 0.9993 0.6992

Results
Uncorrected formation energy ... -1.469 eV/atom